i:
## MnPIN2 (PBE)

Data for a relaxed structure of MnPIN2.

Unit cell a=3.6775 b=3.6775 c=5.9380 alpha=90.00 beta=90.00 gamma=90.00
With the nearest neighbours (Å) after each atom.
Fractional coordinates of all 5 atoms:
1 P 0.5000 0.5000 0.5000  4 I 2.60
2 Mn 0.0000 0.0000 0.0000  4 N 1.84
3 I 0.0000 0.0000 0.5000  4 P 2.60
4 N 0.5000 0.0000 0.0000  2 Mn 1.84
5 N 0.0000 0.5000 0.0000  2 Mn 1.84

Summary:
Space group: No. 123
Calculated volume: 16.06 A^3/atom
Size of the total moment: 0.0 μB/cell

***

ii:
## MnPIN2 (PBE)

Data for a relaxed structure of MnPIN2.

Unit cell a=3.5966 b=3.5966 c=6.8312 alpha=90.00 beta=90.00 gamma=90.00
With the nearest neighbours (Å) after each atom.
Fractional coordinates of all 5 atoms:
1 Mn 0.5000 0.5000 0.5000  4 I 2.54
2 N 0.0000 0.5000 0.0000  2 P 1.80
3 N 0.5000 0.0000 0.0000  2 P 1.80
4 I 0.0000 0.0000 0.5000  4 Mn 2.54
5 P 0.0000 0.0000 0.0000  4 N 1.80

Summary:
Space group: No. 123
Calculated volume: 17.67 A^3/atom
Size of the total moment: 4.8 μB/cell

***

What should be chosen as the least stable of them? Choose ii.

***

i:
## MnPdI2N (PBE)

Data for a relaxed structure of MnPdI2N.

Unit cell a=5.4673 b=5.4673 c=3.5229 alpha=90.00 beta=90.00 gamma=90.00
With the nearest neighbours (Å) after each atom.
Fractional coordinates of all 5 atoms:
1 I 0.5000 0.0000 0.0000  2 Mn 2.73
2 I 0.0000 0.5000 0.0000  2 Mn 2.73
3 N 0.0000 0.0000 0.5000  2 Mn 1.76
4 Pd 0.5000 0.5000 0.5000  8 I 3.25, 2 Pd 3.52
5 Mn 0.0000 0.0000 0.0000  2 N 1.76

Summary:
Space group: No. 123
Calculated volume: 21.06 A^3/atom
Size of the total moment: 1.9 μB/cell

***

ii:
## MnPdI2N (PBE)

Data for a relaxed structure of MnPdI2N.

Unit cell a=5.7689 b=5.7689 c=3.7584 alpha=90.00 beta=90.00 gamma=90.00
With the nearest neighbours (Å) after each atom.
Fractional coordinates of all 5 atoms:
1 I 0.0000 0.5000 0.0000  2 Pd 2.88
2 I 0.5000 0.0000 0.0000  2 Pd 2.88
3 Pd 0.0000 0.0000 0.0000  2 N 1.88
4 Mn 0.5000 0.5000 0.5000  8 I 3.44, 2 Mn 3.76
5 N 0.0000 0.0000 0.5000  2 Pd 1.88

Summary:
Space group: No. 123
Calculated volume: 25.02 A^3/atom
Size of the total moment: 4.9 μB/cell

***

What should be chosen as the least stable of them? Choose ii.

***

i:
## MnPtI2N (PBE)

Data for a relaxed structure of MnPtI2N.

Unit cell a=5.7828 b=5.7828 c=3.7308 alpha=90.00 beta=90.00 gamma=90.00
With the nearest neighbours (Å) after each atom.
Fractional coordinates of all 5 atoms:
1 Pt 0.0000 0.0000 0.0000  2 N 1.87
2 Mn 0.5000 0.5000 0.5000  8 I 3.44, 2 Mn 3.73
3 I 0.0000 0.5000 0.0000  2 Pt 2.89
4 I 0.5000 0.0000 0.0000  2 Pt 2.89
5 N 0.0000 0.0000 0.5000  2 Pt 1.87

Summary:
Space group: No. 123
Calculated volume: 24.95 A^3/atom
Size of the total moment: 4.9 μB/cell

***

ii:
## MnPtI2N (PBE)

Data for a relaxed structure of MnPtI2N.

Unit cell a=5.3727 b=5.3727 c=3.4902 alpha=90.00 beta=90.00 gamma=90.00
With the nearest neighbours (Å) after each atom.
Fractional coordinates of all 5 atoms:
1 I 0.5000 0.0000 0.0000  2 Mn 2.69
2 I 0.0000 0.5000 0.0000  2 Mn 2.69
3 N 0.0000 0.0000 0.5000  2 Mn 1.75
4 Mn 0.0000 0.0000 0.0000  2 N 1.75
5 Pt 0.5000 0.5000 0.5000  8 I 3.20, 2 Pt 3.49

Summary:
Space group: No. 123
Calculated volume: 20.15 A^3/atom
Size of the total moment: 1.5 μB/cell

***

What should be chosen as the least stable of them? Choose i.

***

i:
## RbMnIN2 (PBE)

Data for a relaxed structure of RbMnIN2.

Unit cell a=4.1153 b=4.1153 c=5.5545 alpha=90.00 beta=90.00 gamma=90.00
With the nearest neighbours (Å) after each atom.
Fractional coordinates of all 5 atoms:
1 N 0.0000 0.5000 0.0000  2 Mn 2.06
2 N 0.5000 0.0000 0.0000  2 Mn 2.06
3 I 0.0000 0.0000 0.5000  2 Mn 2.78, 4 Rb 2.91
4 Rb 0.5000 0.5000 0.5000  4 I 2.91
5 Mn 0.0000 0.0000 0.0000  4 N 2.06

Summary:
Space group: No. 123
Calculated volume: 18.81 A^3/atom
Size of the total moment: 0.0 μB/cell

***

ii:
## RbMnIN2 (PBE)

Data for a relaxed structure of RbMnIN2.

Unit cell a=5.3747 b=5.3747 c=7.3726 alpha=90.00 beta=90.00 gamma=90.00
With the nearest neighbours (Å) after each atom.
Fractional coordinates of all 5 atoms:
1 N 0.0000 0.5000 0.0000  2 Rb 2.69
2 N 0.5000 0.0000 0.0000  2 Rb 2.69
3 I 0.0000 0.0000 0.5000  2 Rb 3.69, 4 Mn 3.80
4 Rb 0.0000 0.0000 0.0000  4 N 2.69
5 Mn 0.5000 0.5000 0.5000  4 I 3.80

Summary:
Space group: No. 123
Calculated volume: 42.60 A^3/atom
Size of the total moment: 10.9 μB/cell

***

What should be chosen as the least stable of them? Choose ii.

***

i:
## MnRhI2N (PBE)

Data for a relaxed structure of MnRhI2N.

Unit cell a=5.6585 b=5.6585 c=3.7075 alpha=90.00 beta=90.00 gamma=90.00
With the nearest neighbours (Å) after each atom.
Fractional coordinates of all 5 atoms:
1 N 0.0000 0.0000 0.5000  2 Rh 1.85
2 Rh 0.0000 0.0000 0.0000  2 N 1.85
3 I 0.0000 0.5000 0.0000  2 Rh 2.83
4 I 0.5000 0.0000 0.0000  2 Rh 2.83
5 Mn 0.5000 0.5000 0.5000  8 I 3.38, 2 Mn 3.71

Summary:
Space group: No. 123
Calculated volume: 23.74 A^3/atom
Size of the total moment: 4.8 μB/cell

***

ii:
## MnRhI2N (PBE)

Data for a relaxed structure of MnRhI2N.

Unit cell a=5.3457 b=5.3457 c=3.4862 alpha=90.00 beta=90.00 gamma=90.00
With the nearest neighbours (Å) after each atom.
Fractional coordinates of all 5 atoms:
1 Rh 0.5000 0.5000 0.5000  8 I 3.19, 2 Rh 3.49
2 I 0.5000 0.0000 0.0000  2 Mn 2.67
3 I 0.0000 0.5000 0.0000  2 Mn 2.67
4 N 0.0000 0.0000 0.5000  2 Mn 1.74
5 Mn 0.0000 0.0000 0.0000  2 N 1.74

Summary:
Space group: No. 123
Calculated volume: 19.92 A^3/atom
Size of the total moment: 1.0 μB/cell

***

What should be chosen as the least stable of them? Choose ii.

***

i:
## MnSIN2 (PBE)

Data for a relaxed structure of MnSIN2.

Unit cell a=3.5617 b=3.5617 c=7.0096 alpha=90.00 beta=90.00 gamma=90.00
With the nearest neighbours (Å) after each atom.
Fractional coordinates of all 5 atoms:
1 N 0.0000 0.5000 0.0000  2 S 1.78
2 N 0.5000 0.0000 0.0000  2 S 1.78
3 I 0.0000 0.0000 0.5000  4 Mn 2.52
4 Mn 0.5000 0.5000 0.5000  4 I 2.52
5 S 0.0000 0.0000 0.0000  4 N 1.78

Summary:
Space group: No. 123
Calculated volume: 17.78 A^3/atom
Size of the total moment: 0.1 μB/cell

***

ii:
## MnSIN2 (PBE)

Data for a relaxed structure of MnSIN2.

Unit cell a=3.6841 b=3.6841 c=5.8300 alpha=90.00 beta=90.00 gamma=90.00
With the nearest neighbours (Å) after each atom.
Fractional coordinates of all 5 atoms:
1 I 0.0000 0.0000 0.5000  4 S 2.61, 2 Mn 2.92
2 N 0.5000 0.0000 0.0000  2 Mn 1.84
3 N 0.0000 0.5000 0.0000  2 Mn 1.84
4 S 0.5000 0.5000 0.5000  4 I 2.61
5 Mn 0.0000 0.0000 0.0000  4 N 1.84

Summary:
Space group: No. 123
Calculated volume: 15.83 A^3/atom
Size of the total moment: 0.0 μB/cell

***

What should be chosen as the least stable of them? Choose i.